No. 1
Sc2CuHgPd: PBEsol geometry, SCAN.

Computed properties:
* Fermi-level density of states: 3.9 states/eV/cell
* ΔH_f (0 K): 0.657 eV/atom
* size of the total moment: 0.00 μB per atom
* final energy: -28.265 eV per atom

a b c (Å): 4.9133 5.1444 5.1444
angles (deg): 90.00 90.00 90.00
Positions (direct):
Sc 0.0000 0.0000 0.5000
Sc 0.0000 0.5000 0.0000
Cu 0.5000 0.5000 0.5000
Hg 0.0000 0.0000 0.0000
Pd 0.5000 0.0000 0.0000

=====

No. 2
Al2TeSe: PBEsol geometry, SCAN.

Computed properties:
* Fermi-level density of states: 0.8 states/eV/cell
* excess energy over the best structure of this formula in the dataset: 0.000 eV per atom
* size of the total moment: 0.00 μB per atom
* final energy: -18.589 eV per atom

a b c (Å): 3.6808 3.6808 8.7150
angles (deg): 77.81 77.81 60.00
Positions (direct):
Te 0.2726 0.2726 0.1822
Al 0.0037 0.0037 0.9890
Al 0.7539 0.7539 0.7383
Se 0.4698 0.4698 0.5905

=====

No. 3
MnH2S2O8: PBEsol geometry, SCAN.

Computed properties:
* Fermi-level density of states: 0.0 states/eV/cell
* size of the total moment: 0.38 μB per atom
* final energy: -8.792 eV per atom

a b c (Å): 5.0576 7.5880 8.2537
angles (deg): 90.00 90.00 99.08
Positions (direct):
Mn 0.5000 0.5000 0.0000
Mn 0.0000 0.0000 0.5000
H 0.7212 0.1699 0.0193
H 0.7788 0.3301 0.5193
H 0.2788 0.8301 0.9807
H 0.2212 0.6699 0.4807
S 0.9481 0.2868 0.8177
S 0.5519 0.2132 0.3177
S 0.0519 0.7132 0.1823
S 0.4481 0.7868 0.6823
O 0.8034 0.1257 0.9157
O 0.6966 0.3743 0.4157
O 0.3034 0.6257 0.5843
O 0.1966 0.8743 0.0843
O 0.3129 0.9410 0.6537
O 0.1871 0.5590 0.1537
O 0.6871 0.0590 0.3463
O 0.8129 0.4410 0.8463
O 0.7301 0.8177 0.6364
O 0.7699 0.6823 0.1364
O 0.2699 0.1823 0.3636
O 0.2301 0.3177 0.8636
O 0.4176 0.7268 0.8535
O 0.0824 0.7732 0.3535
O 0.5824 0.2732 0.1465
O 0.9176 0.2268 0.6465